Record 1
This record from Alexandria describes a relaxed GaSn2Pd5 crystal. The functional is GGA-PBE.

a = 3.004 Å, b = 7.881 Å, c = 13.545 Å
α = 90.00°, β = 90.00°, γ = 100.99°
Sites, in units of the cell vectors:
1 Pd 0.222 0.444 0.750
2 Pd 0.225 0.450 0.085
3 Sn 0.124 0.249 0.917
4 Ga 0.863 0.725 0.750
5 Pd 0.955 0.910 0.598
6 Pd 0.045 0.090 0.402
7 Sn 0.876 0.751 0.417
8 Pd 0.955 0.910 0.902
9 Pd 0.045 0.090 0.098
10 Pd 0.775 0.550 0.585
11 Sn 0.124 0.249 0.583
12 Sn 0.876 0.751 0.083
13 Ga 0.137 0.275 0.250
14 Pd 0.778 0.556 0.250
15 Pd 0.225 0.450 0.415
16 Pd 0.775 0.550 0.915

Symmetry: Cmcm, No. 63
Fermi-level density of states, states/eV per cell: 6.701
Calculated formation energy, eV/atom: -0.28

=====

Record 2
This record from Alexandria describes a relaxed CeHfO4 crystal. The functional is GGA-PBE.

a = 5.053 Å, b = 5.994 Å, c = 5.999 Å
α = 109.96°, β = 90.00°, γ = 90.00°
Sites, in units of the cell vectors:
1 Ce 0.500 0.500 0.000
2 O 0.292 0.864 0.176
3 Hf 0.500 0.000 0.500
4 O 0.708 0.136 0.824
5 Hf 0.000 0.000 0.000
6 O 0.330 0.335 0.633
7 O 0.208 0.864 0.676
8 O 0.830 0.665 0.867
9 O 0.792 0.136 0.324
10 Ce 0.000 0.500 0.500
11 O 0.170 0.335 0.133
12 O 0.670 0.665 0.367

Symmetry: P2_1/c, No. 14
Fermi-level density of states, states/eV per cell: 0.000
Raw formation energy, eV/atom: -3.4168

=====

Record 3
This record from Alexandria describes a relaxed Ta7Mo crystal. The functional is GGA-PBE.

a = 7.390 Å, b = 7.390 Å, c = 3.291 Å
α = 90.00°, β = 90.00°, γ = 127.17°
Sites, in units of the cell vectors:
1 Ta 0.747 0.253 0.000
2 Ta 0.253 0.747 0.000
3 Mo 0.000 0.000 0.000
4 Ta 0.365 0.121 0.500
5 Ta 0.121 0.365 0.500
6 Ta 0.635 0.879 0.500
7 Ta 0.500 0.500 0.000
8 Ta 0.879 0.635 0.500

Symmetry: Cmmm, No. 65
Fermi-level density of states, states/eV per cell: 10.185
Calculated formation energy, eV/atom: -0.05
ΔE to the lowest computed polymorph, meV/atom: 0.0

=====

Record 4
This record from Alexandria describes a relaxed YBeIn2 crystal. The functional is GGA-PBE.

a = 3.451 Å, b = 3.451 Å, c = 7.517 Å
α = 90.00°, β = 90.00°, γ = 100.99°
Sites, in units of the cell vectors:
1 Y 0.500 0.500 0.250
2 Be 0.500 0.500 0.750
3 In 0.000 0.000 0.550
4 In 0.000 0.000 0.950

Symmetry: Cmmm, No. 65
Fermi-level density of states, states/eV per cell: 1.914
Calculated formation energy, eV/atom: 0.02

=====

Record 5
This record from Alexandria describes a relaxed Hf4InSn crystal. The functional is GGA-PBE.

a = 5.123 Å, b = 7.621 Å, c = 10.079 Å
α = 131.39°, β = 90.00°, γ = 109.64°
Sites, in units of the cell vectors:
1 Hf 0.000 0.500 0.167
2 Hf 0.500 0.500 0.667
3 Hf 0.000 0.500 0.833
4 In 0.500 0.500 0.000
5 Hf 0.500 0.500 0.333
6 Hf 0.750 0.000 0.417
7 Sn 0.750 0.000 0.750
8 Hf 0.250 0.000 0.583
9 Sn 0.250 0.000 0.250
10 Hf 0.750 0.000 0.083
11 In 0.000 0.500 0.500
12 Hf 0.250 0.000 0.917

Symmetry: Cmmm, No. 65
Fermi-level density of states, states/eV per cell: 5.767
Calculated formation energy, eV/atom: -0.21
ΔE to the lowest computed polymorph, meV/atom: 0.0

=====

Record 6
This record from Alexandria describes a relaxed Hf12In3Pt crystal. The functional is GGA-PBE.

a = 5.132 Å, b = 5.132 Å, c = 13.032 Å
α = 90.00°, β = 90.00°, γ = 90.00°
Sites, in units of the cell vectors:
1 Hf 0.000 0.500 0.373
2 In 0.000 0.000 0.244
3 Hf 0.500 0.500 0.500
4 Hf 0.500 0.500 0.751
5 Hf 0.000 0.500 0.118
6 Hf 0.500 0.500 0.249
7 Hf 0.000 0.500 0.627
8 Hf 0.500 0.000 0.118
9 In 0.000 0.000 0.756
10 In 0.000 0.000 0.500
11 Hf 0.500 0.000 0.627
12 Hf 0.000 0.500 0.882
13 Hf 0.500 0.000 0.373
14 Pt 0.000 0.000 0.000
15 Hf 0.500 0.000 0.882
16 Hf 0.500 0.500 0.000

Symmetry: P4/mmm, No. 123
Fermi-level density of states, states/eV per cell: 17.796
Calculated formation energy, eV/atom: -0.10